1.
Material: Sr12ZnHg6
Method: DFT, PBE
State: optimized geometry

Cell lengths 9.520, 9.520, 9.520 Å; angles 99.60, 99.60, 99.60 degrees
Atoms (fractional coordinates):
Sr 0.031 0.678 0.918
Sr 0.082 0.969 0.322
Sr 0.181 0.416 0.565
Sr 0.322 0.082 0.969
Sr 0.416 0.565 0.181
Sr 0.435 0.819 0.584
Sr 0.565 0.181 0.416
Sr 0.584 0.435 0.819
Sr 0.678 0.918 0.031
Sr 0.819 0.584 0.435
Sr 0.918 0.031 0.678
Sr 0.969 0.322 0.082
Zn 0.000 0.000 0.000
Hg 0.133 0.634 0.316
Hg 0.316 0.133 0.634
Hg 0.366 0.684 0.867
Hg 0.634 0.316 0.133
Hg 0.684 0.867 0.366
Hg 0.867 0.366 0.684

Values from the calculation:
- Crystal system: trigonal
- Total moment: 0.00 μB/f.u.
- Symmetry: R-3 (148)
- Energy relative to the elements: -0.26 eV per atom
- V: 821.8 Å³/cell

=====

2.
Material: Rb4Sm3HfTe8
Method: DFT, PBE
State: optimized geometry

Cell lengths 10.041, 10.041, 10.041 Å; angles 53.17, 53.17, 53.17 degrees
Atoms (fractional coordinates):
Rb 0.000 0.000 0.000
Rb 0.000 0.500 0.500
Rb 0.500 0.000 0.500
Rb 0.500 0.500 0.000
Sm 0.000 0.000 0.500
Sm 0.000 0.500 0.000
Sm 0.500 0.000 0.000
Hf 0.500 0.500 0.500
Te 0.236 0.236 0.236
Te 0.252 0.723 0.723
Te 0.277 0.277 0.748
Te 0.277 0.748 0.277
Te 0.723 0.252 0.723
Te 0.723 0.723 0.252
Te 0.748 0.277 0.277
Te 0.764 0.764 0.764

Values from the calculation:
- ΔE_f (raw): -19.97 eV per formula unit
- Crystal system: trigonal
- Total moment: 0.00 μB/f.u.
- Symmetry: R-3m (166)
- V: 601.3 Å³/cell

=====

3.
Material: NpCr4Re
Method: DFT, PBE
State: optimized geometry

Cell lengths 4.936, 4.936, 4.936 Å; angles 60.00, 60.00, 60.00 degrees
Atoms (fractional coordinates):
Np 0.000 0.000 0.000
Cr 0.375 0.375 0.375
Cr 0.375 0.375 0.874
Cr 0.375 0.874 0.375
Cr 0.874 0.375 0.375
Re 0.750 0.750 0.750

Values from the calculation:
- Crystal system: cubic
- Total moment: 3.48 μB/f.u.
- Symmetry: F-43m (216)
- Energy relative to the elements: 0.39 eV per atom
- V: 85.1 Å³/cell

=====

4.
Material: CrBiRu
Method: DFT, PBE
State: optimized geometry

Cell lengths 4.278, 4.278, 8.125 Å; angles 102.66, 102.66, 58.68 degrees
Atoms (fractional coordinates):
Cr 0.074 0.074 0.123
Cr 0.926 0.926 0.877
Bi 0.204 0.204 0.679
Bi 0.796 0.796 0.321
Ru 0.398 0.398 0.110
Ru 0.602 0.602 0.890

Values from the calculation:
- Crystal system: monoclinic
- Total moment: 0.00 μB/f.u.
- Symmetry: C2/m (12)
- Energy relative to the elements: 0.29 eV per atom
- V: 122.9 Å³/cell

=====

- Which of these has the lowest V?
  NpCr4Re